Ba3LiW2O9 after structural relaxation. Source: Alexandria, functional PBE with a Hubbard U.

Cell lengths 5.8724, 5.8724, 7.1636 Å; angles 90.00, 90.00, 120.00 degrees
Space group P-3m1 (No. 164)
Unique sites:
1 Ba 0.0000 0.0000 0.0000 (multiplicity 1)
2 Ba 0.3333 0.6667 0.6570 (multiplicity 2)
3 Li 0.0000 0.0000 0.5000 (multiplicity 1)
4 W 0.3333 0.6667 0.1717 (multiplicity 2)
5 O 0.0000 0.5000 0.0000 (multiplicity 3)
6 O 0.1750 0.3500 0.3150 (multiplicity 6)

Output
Magnetic moment (μB per cell): 1.00
E_tot (eV/cell): -103.90